No. 1
{
  "formula": "CsBa2Ge",
  "functional": "PBE",
  "state": "optimized geometry",
  "dos_at_fermi_per_ev_fu": 3.00,
  "spacegroup": "No. 123",
  "formation_enthalpy_0k_ev_per_fu": -0.77,
  "lattice": [[-3.4527, -1.1199, 2.2047], [2.3093, -0.1061, 3.5626], [-2.5234, 11.6849, 1.9836]],
  "species": ["Ge", "Cs", "Ba", "Ba"],
  "fractional_positions": [[0.5000, 0.5000, 0.0000], [0.5000, 0.5000, 0.5000], [0.0000, 0.0000, 0.1465], [0.0000, 0.0000, 0.8535]]
}

No. 2
{
  "formula": "CsBaGe4",
  "functional": "PBE",
  "state": "optimized geometry",
  "de_polymorph_ev_per_fu": 0.00,
  "dos_at_fermi_per_ev_fu": 5.77,
  "spacegroup": "No. 216",
  "formation_enthalpy_0k_ev_per_fu": -0.86,
  "lattice": [[-2.6981, -5.6781, -0.9956], [2.3609, -3.9123, -4.4307], [3.0372, -5.3157, 1.7406]],
  "species": ["Ge", "Ge", "Ge", "Ge", "Cs", "Ba"],
  "fractional_positions": [[0.6452, 0.0643, 0.6452], [0.0643, 0.6452, 0.6452], [0.6452, 0.6452, 0.6452], [0.6452, 0.6452, 0.0643], [0.2500, 0.2500, 0.2500], [0.0000, 0.0000, 0.0000]]
}

No. 3
{
  "formula": "Cs2BaGeI6",
  "functional": "PBE",
  "state": "optimized geometry",
  "de_polymorph_ev_per_fu": 0.24,
  "dos_at_fermi_per_ev_fu": 0.00,
  "spacegroup": "No. 225",
  "formation_energy_uncorrected_mev_per_atom": -1213.8,
  "lattice": [[-6.5232, 0.5208, 6.2055], [-4.0141, -7.2223, -3.6135], [-1.9011, -7.1532, 5.1551]],
  "species": ["Ba", "I", "I", "I", "I", "I", "I", "Cs", "Cs", "Ge"],
  "fractional_positions": [[0.0000, 0.0000, 0.0000], [0.2649, 0.2649, 0.4702], [0.7351, 0.7351, 0.5298], [0.7351, 0.7351, 0.0000], [0.2649, 0.7351, 0.0000], [0.7351, 0.2649, 0.0000], [0.2649, 0.2649, 0.0000], [0.7500, 0.2500, 0.5000], [0.2500, 0.7500, 0.5000], [0.5000, 0.5000, 0.0000]]
}

No. 4
{
  "formula": "Cs3BaGe2I9",
  "functional": "PBE",
  "state": "optimized geometry",
  "dos_at_fermi_per_ev_fu": 0.00,
  "spacegroup": "No. 164",
  "formation_energy_uncorrected_mev_per_atom": -1081.0,
  "lattice": [[8.7305, 0.0000, 0.0000], [-4.3653, 7.5608, 0.0000], [0.0000, 0.0000, 11.1986]],
  "species": ["I", "I", "I", "I", "I", "I", "I", "I", "I", "Ge", "Ge", "Ba", "Cs", "Cs", "Cs"],
  "fractional_positions": [[0.8263, 0.1737, 0.6914], [0.0000, 0.5000, 0.0000], [0.5000, 0.5000, 0.0000], [0.8263, 0.6526, 0.6914], [0.3474, 0.1737, 0.6914], [0.1737, 0.3474, 0.3086], [0.1737, 0.8263, 0.3086], [0.6526, 0.8263, 0.3086], [0.5000, 0.0000, 0.0000], [0.6667, 0.3333, 0.8454], [0.3333, 0.6667, 0.1546], [0.0000, 0.0000, 0.5000], [0.0000, 0.0000, 0.0000], [0.3333, 0.6667, 0.7165], [0.6667, 0.3333, 0.2835]]
}

No. 5
{
  "formula": "Cs2BaGeI6",
  "functional": "PBE",
  "state": "optimized geometry",
  "de_polymorph_ev_per_fu": 0.00,
  "dos_at_fermi_per_ev_fu": 0.00,
  "spacegroup": "No. 14",
  "formation_energy_uncorrected_mev_per_atom": -1238.0,
  "lattice": [[-2.9418, 6.4872, 5.0927], [-8.3840, -1.2490, -3.2520], [-2.2958, -8.3909, 9.1415]],
  "species": ["I", "I", "I", "I", "I", "I", "I", "I", "I", "I", "I", "I", "Cs", "Cs", "Cs", "Cs", "Ge", "Ge", "Ba", "Ba"],
  "fractional_positions": [[0.3161, 0.7195, 0.4578], [0.7170, 0.3126, 0.9587], [0.2830, 0.6874, 0.0413], [0.1839, 0.2195, 0.0422], [0.0813, 0.4865, 0.7668], [0.5813, 0.0135, 0.2668], [0.2170, 0.1874, 0.4587], [0.6839, 0.2805, 0.5422], [0.7830, 0.8126, 0.5413], [0.9187, 0.5135, 0.2332], [0.4187, 0.9865, 0.7332], [0.8161, 0.7805, 0.9578], [0.5204, 0.5666, 0.7471], [0.4796, 0.4334, 0.2529], [0.9796, 0.0666, 0.7529], [0.0204, 0.9334, 0.2471], [0.0000, 0.5000, 0.0000], [0.5000, 0.0000, 0.5000], [0.0000, 0.5000, 0.5000], [0.5000, 0.0000, 0.0000]]
}

No. 6
{
  "formula": "CsBa2LiGe",
  "functional": "PBE",
  "state": "optimized geometry",
  "dos_at_fermi_per_ev_fu": 3.55,
  "spacegroup": "No. 123",
  "formation_enthalpy_0k_ev_per_fu": 3.72,
  "lattice": [[-1.8650, 0.2880, -6.4310], [5.4951, -0.4874, -1.6154], [-0.6262, -6.6718, -0.1172]],
  "species": ["Ge", "Ba", "Ba", "Li", "Cs"],
  "fractional_positions": [[0.0000, 0.5000, 0.0000], [0.0000, 0.0000, 0.5000], [0.5000, 0.0000, 0.0000], [0.5000, 0.5000, 0.5000], [0.0000, 0.0000, 0.0000]]
}

No. 7
{
  "formula": "CsBaNa2Ge",
  "functional": "PBE",
  "state": "optimized geometry",
  "dos_at_fermi_per_ev_fu": 3.96,
  "spacegroup": "No. 123",
  "formation_enthalpy_0k_ev_per_fu": -0.02,
  "lattice": [[6.1615, 0.0000, 0.0000], [0.0000, 6.1615, 0.0000], [0.0000, 0.0000, 6.3898]],
  "species": ["Ge", "Na", "Na", "Cs", "Ba"],
  "fractional_positions": [[0.0000, 0.0000, 0.0000], [0.0000, 0.5000, 0.0000], [0.5000, 0.0000, 0.0000], [0.5000, 0.5000, 0.5000], [0.0000, 0.0000, 0.5000]]
}

No. 8
{
  "formula": "Cs3BaGe2O6",
  "functional": "PBE",
  "state": "optimized geometry",
  "dos_at_fermi_per_ev_fu": 3.45,
  "spacegroup": "No. 164",
  "formation_energy_uncorrected_mev_per_atom": -1717.7,
  "lattice": [[6.6035, 0.0000, 0.0000], [-3.3018, 5.7188, 0.0000], [0.0000, 0.0000, 8.1428]],
  "species": ["Cs", "Cs", "Cs", "O", "O", "O", "O", "O", "O", "Ge", "Ge", "Ba"],
  "fractional_positions": [[0.0000, 0.0000, 0.0000], [0.6667, 0.3333, 0.2887], [0.3333, 0.6667, 0.7113], [0.8168, 0.1832, 0.7057], [0.8168, 0.6336, 0.7057], [0.3664, 0.1832, 0.7057], [0.1832, 0.3664, 0.2943], [0.1832, 0.8168, 0.2943], [0.6336, 0.8168, 0.2943], [0.6667, 0.3333, 0.7459], [0.3333, 0.6667, 0.2541], [0.0000, 0.0000, 0.5000]]
}